## ZnInBr2 (meta-GGA SCAN)

Data for a crystal of ZnInBr2 relaxed with PBEsol.

Cell lengths 3.6124, 3.6124, 9.3219 Å; angles 78.83, 78.83, 60.00 degrees
Atoms (fractional coordinates):
Br 0.7235 0.7235 0.8295
Br 0.2765 0.2765 0.1705
Zn 0.0000 0.0000 0.0000
In 0.5000 0.5000 0.5000

Distance to the lowest polymorph of the same formula   0 meV per atom
Formation energy from raw total energies   -0.47 eV per atom
Theoretical density   5.5 g/cm3

=====

## ZrIn2Br (meta-GGA SCAN)

Data for a crystal of ZrIn2Br relaxed with PBEsol.

Cell lengths 3.2398, 3.2398, 9.2228 Å; angles 90.00, 90.00, 90.00 degrees
Atoms (fractional coordinates):
In 0.5000 0.5000 0.2805
In 0.0000 0.0000 0.0267
Zr 0.0000 0.0000 0.5056
Br 0.5000 0.5000 0.6873

Formation energy from raw total energies   -0.46 eV per atom
Theoretical density   6.9 g/cm3

=====

## ZrIn2Br6 (meta-GGA SCAN)

Data for a crystal of ZrIn2Br6 relaxed with PBEsol.

Cell lengths 7.1265, 7.1265, 10.8279 Å; angles 90.00, 90.00, 90.00 degrees
Atoms (fractional coordinates):
Zr 0.0000 0.0000 0.5000
Zr 0.5000 0.5000 0.0000
Br 0.3099 0.8122 0.0000
Br 0.3122 0.8099 0.5000
Br 0.5000 0.5000 0.2426
Br 0.1901 0.3122 0.5000
Br 0.0000 0.0000 0.7426
Br 0.1878 0.3099 0.0000
Br 0.6901 0.1878 0.0000
Br 0.8099 0.6878 0.5000
Br 0.5000 0.5000 0.7574
Br 0.0000 0.0000 0.2574
Br 0.8122 0.6901 0.0000
Br 0.6878 0.1901 0.5000
In 0.5000 0.0000 0.2500
In 0.5000 0.0000 0.7500
In 0.0000 0.5000 0.2500
In 0.0000 0.5000 0.7500

Formation energy from raw total energies   -1.19 eV per atom
Theoretical density   4.8 g/cm3

=====

## IrBr3 (meta-GGA SCAN)

Data for a crystal of IrBr3 relaxed with PBEsol.

Cell lengths 5.0364, 5.0364, 5.0364 Å; angles 90.00, 90.00, 90.00 degrees
Atoms (fractional coordinates):
Ir 0.0000 0.0000 0.0000
Br 0.0000 0.5000 0.0000
Br 0.0000 0.0000 0.5000
Br 0.5000 0.0000 0.0000

Distance to the lowest polymorph of the same formula   652 meV per atom
Formation energy from raw total energies   0.31 eV per atom
Theoretical density   5.6 g/cm3

=====

## IrBr3 (meta-GGA SCAN)

Data for a crystal of IrBr3 relaxed with PBEsol.

Cell lengths 3.1629, 3.1629, 9.1232 Å; angles 90.00, 90.00, 90.00 degrees
Atoms (fractional coordinates):
Ir 0.5000 0.5000 0.5000
Br 0.0000 0.0000 0.6702
Br 0.0000 0.0000 0.3298
Br 0.5000 0.5000 0.0000

Distance to the lowest polymorph of the same formula   1165 meV per atom
Formation energy from raw total energies   0.82 eV per atom
Theoretical density   7.9 g/cm3

=====

## IrBr3 (meta-GGA SCAN)

Data for a crystal of IrBr3 relaxed with PBEsol.

Cell lengths 6.3589, 6.3589, 6.3955 Å; angles 98.62, 98.62, 119.99 degrees
Atoms (fractional coordinates):
Br 0.5677 0.9195 0.2246
Br 0.7841 0.7841 0.7747
Br 0.9195 0.5677 0.2246
Br 0.4323 0.0805 0.7754
Br 0.0805 0.4323 0.7754
Br 0.2159 0.2159 0.2253
Ir 0.8333 0.1667 0.0000
Ir 0.1667 0.8333 0.0000

Distance to the lowest polymorph of the same formula   0 meV per atom
Formation energy from raw total energies   -0.34 eV per atom
Theoretical density   6.7 g/cm3

=====

## KIrBr2 (meta-GGA SCAN)

Data for a crystal of KIrBr2 relaxed with PBEsol.

Cell lengths 3.7066, 5.7878, 6.1221 Å; angles 118.21, 107.62, 90.00 degrees
Atoms (fractional coordinates):
K 0.0000 0.5000 0.0000
Br 0.8411 0.8411 0.6822
Br 0.1589 0.1589 0.3178
Ir 0.5000 0.0000 0.0000

Distance to the lowest polymorph of the same formula   0 meV per atom
Formation energy from raw total energies   -0.44 eV per atom
Theoretical density   6.0 g/cm3

=====

## KIr2Br (meta-GGA SCAN)

Data for a crystal of KIr2Br relaxed with PBEsol.

Cell lengths 2.8115, 2.8777, 10.1435 Å; angles 90.00, 90.00, 119.24 degrees
Atoms (fractional coordinates):
K 0.5000 0.0000 0.5000
Br 0.5000 0.0000 0.0000
Ir 0.0000 0.0000 0.7747
Ir 0.0000 0.0000 0.2253

Distance to the lowest polymorph of the same formula   0 meV per atom
Formation energy from raw total energies   1.17 eV per atom
Theoretical density   11.7 g/cm3

=====

no.,uncorrected energy (eV per cell)
1,-87.7
2,-118.8
3,-450.0
4,-128.2
5,-126.2
6,-261.7
7,-120.1
8,-165.3